# 1
This record from Alexandria via LeMat-Bulk describes an optimized crystal structure of Co2HgIr. The functional is PBE-GGA.

Cell lengths 5.227, 5.227, 5.227 Å; angles 148.25, 129.38, 61.00 degrees
Site moments in Bohr magnetons follow the coordinates.
Positions (direct):
Ir1 0.228 0.728 0.500  0.60
Co1 0.775 0.275 0.500  1.79
Co2 0.988 0.988 0.000  1.75
Hg1 0.509 0.509 0.000  -0.03

Energy relative to the elements (eV/atom): 0.40
Magnetic moment (Bohr magnetons per cell): 4.09
Crystal system: orthorhombic

***

# 2
This record from Alexandria via LeMat-Bulk describes an optimized crystal structure of Co2HgIr. The functional is PBE-GGA.

Cell lengths 4.803, 4.803, 4.803 Å; angles 133.30, 133.30, 68.18 degrees
Site moments in Bohr magnetons follow the coordinates.
Positions (direct):
Hg1 0.500 0.500 0.000  -0.01
Co1 0.250 0.750 0.500  1.73
Co2 0.000 0.000 0.000  1.81
Ir1 0.750 0.250 0.500  0.65

Energy relative to the elements (eV/atom): 0.44
Magnetic moment (Bohr magnetons per cell): 4.12
Crystal system: tetragonal

***

# 3
This record from Alexandria via LeMat-Bulk describes an optimized crystal structure of Co2HgIr. The functional is PBE-GGA.

Cell lengths 2.911, 2.912, 6.830 Å; angles 90.00, 90.00, 90.00 degrees
Site moments in Bohr magnetons follow the coordinates.
Positions (direct):
Co1 0.500 0.500 0.202  1.68
Co2 0.000 0.000 0.018  1.93
Ir1 0.500 0.500 0.795  0.60
Hg1 0.000 0.000 0.485  -0.02

Energy relative to the elements (eV/atom): 0.33
Magnetic moment (Bohr magnetons per cell): 4.17
Crystal system: tetragonal

***

# 4
This record from Alexandria via LeMat-Bulk describes an optimized crystal structure of CoHgIr4. The functional is PBE-GGA.

Cell lengths 5.206, 5.206, 5.206 Å; angles 60.00, 60.00, 60.00 degrees
Site moments in Bohr magnetons follow the coordinates.
Positions (direct):
Co1 0.750 0.750 0.750  2.17
Hg1 0.000 0.000 0.000  -0.01
Ir1 0.874 0.375 0.375  0.51
Ir2 0.375 0.874 0.375  0.51
Ir3 0.375 0.375 0.874  0.51
Ir4 0.375 0.375 0.375  0.51

Energy relative to the elements (eV/atom): 0.66
Magnetic moment (Bohr magnetons per cell): 4.20
Crystal system: cubic

***

# 5
This record from Alexandria via LeMat-Bulk describes an optimized crystal structure of CoHg2Ir. The functional is PBE-GGA.

Cell lengths 2.916, 2.916, 8.217 Å; angles 90.00, 90.00, 89.99 degrees
Site moments in Bohr magnetons follow the coordinates.
Positions (direct):
Hg1 0.500 0.500 0.282  -0.01
Hg2 0.000 0.000 0.958  -0.02
Ir1 0.000 0.000 0.541  0.60
Co1 0.500 0.500 0.720  1.69

Energy relative to the elements (eV/atom): 0.33
Magnetic moment (Bohr magnetons per cell): 2.25
Crystal system: tetragonal
Energy above the lowest structure with this stoichiometry (meV per atom): 0

***

# 6
This record from Alexandria via LeMat-Bulk describes an optimized crystal structure of CoHgIr2. The functional is PBE-GGA.

Cell lengths 2.793, 2.793, 7.788 Å; angles 90.00, 90.00, 90.00 degrees
Site moments in Bohr magnetons follow the coordinates.
Positions (direct):
Hg1 0.500 0.500 0.737  -0.02
Ir1 0.000 0.000 0.027  -0.20
Ir2 0.500 0.500 0.262  0.17
Co1 0.000 0.000 0.474  1.40

Energy relative to the elements (eV/atom): 0.28
Magnetic moment (Bohr magnetons per cell): 1.33
Crystal system: tetragonal

***

# 7
This record from Alexandria via LeMat-Bulk describes an optimized crystal structure of CoHg2Ir. The functional is PBE-GGA.

Cell lengths 3.039, 4.846, 4.664 Å; angles 90.00, 90.00, 90.00 degrees
Site moments in Bohr magnetons follow the coordinates.
Positions (direct):
Hg1 0.000 0.000 0.000  -0.01
Hg2 0.500 0.500 0.000  -0.04
Ir1 0.500 0.000 0.500  0.26
Co1 0.000 0.500 0.500  1.73

Energy relative to the elements (eV/atom): 0.63
Magnetic moment (Bohr magnetons per cell): 1.88
Crystal system: orthorhombic
Energy above the lowest structure with this stoichiometry (meV per atom): 301

***

# 8
This record from Alexandria via LeMat-Bulk describes an optimized crystal structure of CoHgIr2. The functional is PBE-GGA.

Cell lengths 2.778, 2.778, 9.356 Å; angles 90.00, 90.00, 119.70 degrees
Site moments in Bohr magnetons follow the coordinates.
Positions (direct):
Ir1 0.000 0.000 0.472  0.40
Ir2 0.000 0.000 0.028  0.40
Hg1 0.500 0.500 0.750  -0.01
Co1 0.500 0.500 0.250  1.89

Energy relative to the elements (eV/atom): 0.46
Magnetic moment (Bohr magnetons per cell): 2.68
Crystal system: orthorhombic